# 1
A relaxed Hg2OsO4 crystal. Source: Alexandria via LeMat-Bulk, functional PBE.

POSCAR file:
```
Hg2OsO4
1.0
-1.898 1.898 8.345
1.898 -1.898 8.345
1.898 1.898 -8.345
Hg Os O
2 1 4
Direct
0.204 0.204 0.000 Hg
0.796 0.796 0.000 Hg
0.500 0.500 0.000 Os
0.000 0.500 0.500 O
0.391 0.391 0.000 O
0.500 0.000 0.500 O
0.609 0.609 0.000 O
```

Output
For the raw formation energy, the calculation gives -3.39 eV per formula unit. For the density of states at the Fermi level, the calculation gives 3.7 states/eV/f.u.

---

# 2
A relaxed Hg4Os2O crystal. Source: Alexandria via LeMat-Bulk, functional PBE.

POSCAR file:
```
Hg4Os2O
1.0
-2.495 2.495 6.292
2.495 -2.495 6.292
2.495 2.495 -6.292
Hg Os O
4 2 1
Direct
0.000 0.500 0.500 Hg
0.187 0.187 0.000 Hg
0.500 0.000 0.500 Hg
0.813 0.813 0.000 Hg
0.402 0.402 0.000 Os
0.598 0.598 0.000 Os
0.000 0.000 0.000 O
```

Output
For the raw formation energy, the calculation gives 7.32 eV per formula unit. For the density of states at the Fermi level, the calculation gives 7.7 states/eV/f.u.

---

# 3
A relaxed HgOs3O12 crystal. Source: Alexandria via LeMat-Bulk, functional PBE.

POSCAR file:
```
HgOs3O12
1.0
4.609 2.661 12.934
-4.609 2.661 12.934
0.000 -5.322 12.934
Hg Os O
2 6 24
Direct
0.000 0.000 0.000 Hg
0.500 0.500 0.500 Hg
0.115 0.767 0.407 Os
0.267 0.615 0.907 Os
0.407 0.115 0.767 Os
0.615 0.907 0.267 Os
0.767 0.407 0.115 Os
0.907 0.267 0.615 Os
0.018 0.369 0.397 O
0.043 0.053 0.692 O
0.053 0.692 0.043 O
0.155 0.788 0.240 O
0.192 0.553 0.543 O
0.216 0.857 0.329 O
0.240 0.155 0.788 O
0.288 0.655 0.740 O
0.329 0.216 0.857 O
0.357 0.716 0.829 O
0.369 0.397 0.018 O
0.397 0.018 0.369 O
0.518 0.897 0.869 O
0.543 0.192 0.553 O
0.553 0.543 0.192 O
0.655 0.740 0.288 O
0.692 0.043 0.053 O
0.716 0.829 0.357 O
0.740 0.288 0.655 O
0.788 0.240 0.155 O
0.829 0.357 0.716 O
0.857 0.329 0.216 O
0.869 0.518 0.897 O
0.897 0.869 0.518 O
```

Output
For the raw formation energy, the calculation gives -14.33 eV per formula unit.